[1]
First-principles (PBE) data for an optimized crystal structure of NaGaGe2C, as listed in Alexandria via LeMat-Bulk.

Computed properties:
Formation energy = 789 meV/atom
Raw total energy = -18.86 eV/cell

Cell: 4.320 4.320 4.738 Å, 90.00 90.00 90.00°
Space group P4/mmm (No. 123)
Inequivalent atoms, fractional coordinates:
Na  0.000  0.000  0.000 (multiplicity 1)
Ga  0.500  0.500  0.000 (multiplicity 1)
Ge  0.000  0.500  0.500 (multiplicity 2)
C  0.000  0.000  0.500 (multiplicity 1)

***

[2]
First-principles (PBE) data for an optimized crystal structure of Ac7Ag2Sn2, as listed in Alexandria via LeMat-Bulk.

Computed properties:
Formation energy = -125 meV/atom
Raw total energy = -87.69 eV/cell

Cell: 8.876 12.268 7.824 Å, 90.00 90.00 90.00°
Space group Cmmm (No. 65)
Inequivalent atoms, fractional coordinates:
Ac  0.000  0.000  0.000 (multiplicity 2)
Ac  0.000  0.500  0.251 (multiplicity 4)
Ac  0.250  0.250  0.277 (multiplicity 8)
Ag  0.000  0.284  0.000 (multiplicity 4)
Sn  0.170  0.000  0.500 (multiplicity 4)

***

[3]
First-principles (PBE) data for an optimized crystal structure of BaYBr2, as listed in Alexandria via LeMat-Bulk.

Computed properties:
Uncorrected formation energy = -1051 meV/atom
Raw total energy = -15.94 eV/cell
E above lowest polymorph = 163 meV per atom

Cell: 3.873 5.095 7.210 Å, 90.00 90.00 90.00°
Space group Pmmm (No. 47)
Inequivalent atoms, fractional coordinates:
Ba  0.000  0.000  0.000 (multiplicity 1)
Y  0.500  0.000  0.500 (multiplicity 1)
Br  0.000  0.500  0.500 (multiplicity 1)
Br  0.500  0.500  0.000 (multiplicity 1)

***

[4]
First-principles (PBE) data for an optimized crystal structure of TlSiHg2, as listed in Alexandria via LeMat-Bulk.

Computed properties:
Uncorrected formation energy = 397 meV/atom
Raw total energy = -13.61 eV/cell

Cell: 7.206 8.585 3.159 Å, 90.00 90.00 90.00°
Space group Cmmm (No. 65)
Inequivalent atoms, fractional coordinates:
Tl  0.000  0.000  0.000 (multiplicity 2)
Si  0.000  0.500  0.000 (multiplicity 2)
Hg  0.250  0.250  0.500 (multiplicity 4)

***

[5]
First-principles (PBE) data for an optimized crystal structure of P2RhSBr, as listed in Alexandria via LeMat-Bulk.

Computed properties:
Uncorrected formation energy = 1713 meV/atom
Raw total energy = -15.40 eV/cell
E above lowest polymorph = 1075 meV per atom

Cell: 4.779 4.779 4.595 Å, 90.00 90.00 90.00°
Space group P4/mmm (No. 123)
Inequivalent atoms, fractional coordinates:
P  0.000  0.500  0.000 (multiplicity 2)
Rh  0.000  0.000  0.500 (multiplicity 1)
S  0.500  0.500  0.500 (multiplicity 1)
Br  0.500  0.500  0.000 (multiplicity 1)

***

[6]
First-principles (PBE) data for an optimized crystal structure of CeNdSi2Pd5, as listed in Alexandria via LeMat-Bulk.

Computed properties:
Uncorrected formation energy = -857 meV/atom
Raw total energy = -55.22 eV/cell

Cell: 4.255 4.255 9.030 Å, 90.00 90.00 90.00°
Space group P4/mmm (No. 123)
Inequivalent atoms, fractional coordinates:
Ce  0.000  0.000  0.000 (multiplicity 1)
Nd  0.000  0.000  0.500 (multiplicity 1)
Si  0.500  0.500  0.131 (multiplicity 2)
Pd  0.000  0.500  0.266 (multiplicity 4)
Pd  0.500  0.500  0.500 (multiplicity 1)

***

[7]
First-principles (PBE) data for an optimized crystal structure of Sr2Y2Sb, as listed in Alexandria via LeMat-Bulk.

Computed properties:
Uncorrected formation energy = -220 meV/atom
Raw total energy = -43.03 eV/cell

Cell: 8.125 8.125 5.865 Å, 90.00 90.00 90.00°
Space group P4/mbm (No. 127)
Inequivalent atoms, fractional coordinates:
Sr  0.163  0.337  0.000 (multiplicity 4)
Y  0.153  0.653  0.500 (multiplicity 4)
Sb  0.000  0.000  0.500 (multiplicity 2)

***

[8]
First-principles (PBE) data for an optimized crystal structure of Na2PaAuO6, as listed in Alexandria via LeMat-Bulk.

Computed properties:
Uncorrected formation energy = -1740 meV/atom
Raw total energy = -187.68 eV/cell

Cell: 5.7395 5.7395 14.2430 Å, 90.00 90.00 120.00°
Space group R-3 (No. 148, hexagonal axes)
Inequivalent atoms, fractional coordinates:
Na  0.0000  0.0000  0.2473 (multiplicity 6)
Pa  0.0000  0.0000  0.0000 (multiplicity 3)
Au  0.0000  0.0000  0.5000 (multiplicity 3)
O  0.0091  0.4244  0.2475 (multiplicity 18)

***

[9]
First-principles (PBE) data for an optimized crystal structure of Pr2SiAu, as listed in Alexandria via LeMat-Bulk.

Computed properties:
Uncorrected formation energy = -570 meV/atom
Raw total energy = -61.62 eV/cell

Cell: 4.3695 4.3695 21.3439 Å, 90.00 90.00 120.00°
Space group R-3m (No. 166, hexagonal axes)
Inequivalent atoms, fractional coordinates:
Pr  0.0000  0.0000  0.2429 (multiplicity 6)
Si  0.0000  0.0000  0.5000 (multiplicity 3)
Au  0.0000  0.0000  0.0000 (multiplicity 3)

***

[10]
First-principles (PBE) data for an optimized crystal structure of Y2ScCoBi, as listed in Alexandria via LeMat-Bulk.

Computed properties:
Formation energy = -344 meV/atom
Raw total energy = -31.97 eV/cell

Cell: 5.228 5.228 4.802 Å, 90.00 90.00 90.00°
Space group P4/mmm (No. 123)
Inequivalent atoms, fractional coordinates:
Y  0.000  0.500  0.000 (multiplicity 2)
Sc  0.000  0.000  0.500 (multiplicity 1)
Co  0.000  0.000  0.000 (multiplicity 1)
Bi  0.500  0.500  0.500 (multiplicity 1)

***

[11]
First-principles (PBE) data for an optimized crystal structure of TbGa5, as listed in Alexandria via LeMat-Bulk.

Computed properties:
Formation energy = -338 meV/atom
Raw total energy = -43.58 eV/cell
E above lowest polymorph = 0 meV per atom

Cell: 4.214 6.270 8.850 Å, 90.00 90.00 90.00°
Space group Immm (No. 71)
Inequivalent atoms, fractional coordinates:
Tb  0.000  0.000  0.000 (multiplicity 2)
Ga  0.000  0.220  0.337 (multiplicity 8)
Ga  0.000  0.500  0.000 (multiplicity 2)

***

[12]
First-principles (PBE) data for an optimized crystal structure of LaScPdRu, as listed in Alexandria via LeMat-Bulk.

Computed properties:
Formation energy = -507 meV/atom
Raw total energy = -111.03 eV/cell

Cell: 6.891 6.891 6.891 Å, 90.00 90.00 90.00°
Space group F-43m (No. 216)
Inequivalent atoms, fractional coordinates:
La  0.000  0.000  0.000 (multiplicity 4)
Sc  0.000  0.000  0.500 (multiplicity 4)
Pd  0.250  0.250  0.750 (multiplicity 4)
Ru  0.250  0.250  0.250 (multiplicity 4)